A relaxed structure of FeSiN, computed with PBE.

Cell: 4.191 2.865 6.426 Å, 90.00 99.79 90.00°
Site moments in Bohr magnetons follow the coordinates.
Sites, in units of the cell vectors:
Fe  0.492  0.000  0.871  0.39
N  0.442  0.500  0.043  -0.01
N  0.850  0.000  0.381  0.00
Si  0.913  0.000  0.655  -0.01
Si  0.816  0.500  0.218  0.00
Fe  0.026  0.500  0.917  -0.08

Properties
Volume in Å³/atom: 12.7
E_tot in eV/atom: -7.687
Formation energy from raw total energies in eV per atom: -0.2838
Space-group type: Pm